CeZrCdHg: relaxed, PBE.

Output
DOS at the Fermi energy in states/eV/f.u.: 7.805
Total magnetic moment in μB per atom: 0.66
E in eV/atom: -4.00
Formation energy from the elements in eV per atom: -0.079

abc: 5.217 5.217 5.217
angles: 60.00 60.00 60.00
Each line ends with the local moment (μB).
Atoms (fractional coordinates):
Hg 0.250 0.250 0.250  0.03
Zr 0.500 0.500 0.500  0.79
Cd 0.750 0.750 0.750  0.03
Ce 0.000 0.000 0.000  0.94